First-principles (PBE) data for an optimized crystal structure of Fe2BiAs, as listed in Alexandria via LeMat-Bulk.

```
Fe2BiAs
1.0
6.469 0.000 0.000
0.000 6.469 0.000
0.000 0.000 6.469
Fe Bi As
8 4 4
Cartesian
1.617 1.617 1.617 Fe
1.617 1.617 4.852 Fe
1.617 4.852 1.617 Fe
1.617 4.852 4.852 Fe
4.852 1.617 1.617 Fe
4.852 1.617 4.852 Fe
4.852 4.852 1.617 Fe
4.852 4.852 4.852 Fe
0.000 0.000 0.000 Bi
0.000 3.235 3.235 Bi
3.235 0.000 3.235 Bi
3.235 3.235 0.000 Bi
0.000 0.000 3.235 As
0.000 3.235 0.000 As
3.235 0.000 0.000 As
3.235 3.235 3.235 As
```

## Properties
Its total DFT energy (no corrections) is -5.8978 eV per atom. The formation energy is 1.9 eV/f.u.